Y2Zn2S | PBE | relaxed

```
10
Lattice="7.2757 0.0000 0.0000 0.0000 7.2757 0.0000 0.0000 0.0000 4.6207" Properties=species:S:1:pos:R:3 pbc="T T T"
Y 1.2669 2.3709 0.0000
Y 2.3709 6.0087 0.0000
Y 4.9048 1.2669 0.0000
Y 6.0087 4.9048 0.0000
S 0.0000 0.0000 0.0000
S 3.6378 3.6378 0.0000
Zn 6.3853 2.7474 2.3104
Zn 0.8904 4.5283 2.3104
Zn 4.5283 6.3853 2.3104
Zn 2.7474 0.8904 2.3104
```

Calculated values
As for the calculated density: 4.63 g cm⁻³. The formation energy without anion corrections comes out at -0.696 eV/atom. The size of the total moment is 0.0 μB per cell. As for the density of states at the Fermi level: 4.8 states/eV/cell. As for the symmetry: P4/mbm (127).